1.
# MnBeV2I

A relaxed MnBeV2I crystal (PBE-GGA, the Alexandria database).

* symmetry: P4/mmm
* theoretical density: 4.576 g/cm³
* volume: 106.2 Å³ per cell
* N(E_F): 7.542 states/eV per cell
* raw total energy: -22.82 eV per cell

abc: 4.8311 4.8311 4.5519
angles: 90.00 90.00 90.00
Positions (direct):
Mn  0.0000  0.0000  0.0000
Be  0.5000  0.5000  0.0000
V  0.0000  0.5000  0.5000
V  0.5000  0.0000  0.5000
I  0.0000  0.0000  0.5000

---

2.
# Be2MoI

A relaxed Be2MoI crystal (PBE-GGA, the Alexandria database).

* symmetry: Fm-3m
* theoretical density: 6.644 g/cm³
* volume: 60.2 Å³ per cell
* N(E_F): 4.732 states/eV per cell
* energy above the most stable polymorph in this dataset: 0.203 eV/atom

abc: 4.3991 4.3991 4.3991
angles: 60.00 60.00 60.00
Positions (direct):
Be  0.2500  0.2500  0.2500
Be  0.7500  0.7500  0.7500
Mo  0.0000  0.0000  0.0000
I  0.5000  0.5000  0.5000

---

3.
# Be3MoI

A relaxed Be3MoI crystal (PBE-GGA, the Alexandria database).

* symmetry: Pm-3m
* theoretical density: 4.524 g/cm³
* volume: 91.7 Å³ per cell
* N(E_F): 3.776 states/eV per cell
* energy above the most stable polymorph in this dataset: 0.000 eV/atom

abc: 4.5098 4.5098 4.5098
angles: 90.00 90.00 90.00
Positions (direct):
Be  0.0000  0.0000  0.5000
Be  0.0000  0.5000  0.0000
Be  0.5000  0.0000  0.0000
Mo  0.0000  0.0000  0.0000
I  0.5000  0.5000  0.5000

---

Please write out number 2 again, unchanged.
# Be2MoI

A relaxed Be2MoI crystal (PBE-GGA, the Alexandria database).

* symmetry: Fm-3m
* theoretical density: 6.644 g/cm³
* volume: 60.2 Å³ per cell
* N(E_F): 4.732 states/eV per cell
* energy above the most stable polymorph in this dataset: 0.203 eV/atom

abc: 4.3991 4.3991 4.3991
angles: 60.00 60.00 60.00
Positions (direct):
Be  0.2500  0.2500  0.2500
Be  0.7500  0.7500  0.7500
Mo  0.0000  0.0000  0.0000
I  0.5000  0.5000  0.5000

---

- Which value of volume does entry 1 give?
  106.2 Å³ per cell